Record 1
The following is a DFT calculation (GGA-PBE) of a geometry-optimized MoAuBr structure.

Geometry as extended XYZ:
```
3
Lattice="-0.1738 -1.4780 -4.5190 -1.6445 -4.3465 -1.0198 -4.1997 -0.5039 -2.1782" Properties=species:S:1:pos:R:3 pbc="T T T"
Mo -3.0090 -3.1642 -3.8585
Au -4.5135 -4.7463 -5.7878
Br 0.0000 0.0000 0.0000
```

Values from the calculation:
The value obtained for the calculated total energy is -4.0689 eV per atom. As for the space group: F-43m (216). Its total magnetization is 1.33 μB per atom. As for the density: 8.13 g/cm3. The crystal system is cubic. As for the polymorph energy (0 for the lowest one): 866 meV per atom.

---

Record 2
The following is a DFT calculation (GGA-PBE) of a geometry-optimized Mo2AuBr structure.

Geometry as extended XYZ:
```
4
Lattice="9.0101 -0.0180 -0.0106 8.5206 2.9295 -0.0106 8.5206 1.4151 2.5650" Properties=species:S:1:pos:R:3 pbc="T T T"
Mo 0.0650 0.0108 0.0063
Mo 12.9606 2.1525 1.2656
Au 6.5128 1.0816 0.6360
Br 19.5384 3.2449 1.9079
```

Values from the calculation:
The value obtained for the calculated total energy is -6.0047 eV per atom. As for the space group: R-3m (166). Its total magnetization is 0.00 μB per atom. As for the density: 11.38 g/cm3. The crystal system is trigonal. As for the polymorph energy (0 for the lowest one): 244 meV per atom.

---

Record 3
The following is a DFT calculation (GGA-PBE) of a geometry-optimized MoAuBr structure.

Geometry as extended XYZ:
```
3
Lattice="-0.2545 -0.5764 -4.5624 4.1068 0.1081 2.0819 -0.1152 -2.9680 0.3814" Properties=species:S:1:pos:R:3 pbc="T T T"
Mo 2.5954 -1.6050 0.0580
Au -0.1152 -2.9678 0.3814
Br 1.1417 -1.8318 -2.1569
```

Values from the calculation:
The value obtained for the calculated total energy is -4.4802 eV per atom. As for the space group: P-6m2 (187). Its total magnetization is 0.00 μB per atom. As for the density: 11.25 g/cm3. The crystal system is hexagonal. As for the polymorph energy (0 for the lowest one): 454 meV per atom.

---

Record 4
The following is a DFT calculation (GGA-PBE) of a geometry-optimized Mo2AuBr structure.

Geometry as extended XYZ:
```
4
Lattice="0.0000 3.2219 3.2219 3.2219 0.0000 3.2219 3.2219 3.2219 0.0000" Properties=species:S:1:pos:R:3 pbc="T T T"
Mo 1.6110 1.6110 1.6110
Mo 4.8329 4.8329 4.8329
Br 0.0000 0.0000 0.0000
Au 3.2219 3.2219 3.2219
```

Values from the calculation:
The value obtained for the calculated total energy is -5.8308 eV per atom. As for the space group: Fm-3m (225). Its total magnetization is 0.00 μB per atom. As for the density: 11.64 g/cm3. The crystal system is cubic. As for the polymorph energy (0 for the lowest one): 418 meV per atom.

---

Record 5
The following is a DFT calculation (GGA-PBE) of a geometry-optimized Mo2AuBr structure.

Geometry as extended XYZ:
```
4
Lattice="-0.8500 -0.2993 -4.5773 -1.0784 -2.7606 0.3808 -4.7213 1.9499 0.7492" Properties=species:S:1:pos:R:3 pbc="T T T"
Au -2.7834 -0.0538 0.5204
Mo -1.7043 -0.8236 -2.0070
Mo -1.0334 -2.3778 0.3474
Br -5.1067 -1.0202 -1.3623
```

Values from the calculation:
The value obtained for the calculated total energy is -5.9660 eV per atom. As for the space group: Pmm2 (25). Its total magnetization is 0.00 μB per atom. As for the density: 10.82 g/cm3. The crystal system is orthorhombic. As for the polymorph energy (0 for the lowest one): 283 meV per atom.

---

Record 6
The following is a DFT calculation (GGA-PBE) of a geometry-optimized Mo2AuBr structure.

Geometry as extended XYZ:
```
4
Lattice="-3.5712 -9.0694 -1.5021 -2.1241 -9.5740 1.0438 -4.8916 -8.4931 1.0969" Properties=species:S:1:pos:R:3 pbc="T T T"
Br -7.7784 -19.9376 0.4692
Au -5.3979 -13.8359 0.3256
Mo -2.7027 -6.9275 0.1630
Mo -0.0001 -0.0003 0.0000
```

Values from the calculation:
The value obtained for the calculated total energy is -6.2422 eV per atom. As for the space group: R3m (160). Its total magnetization is 0.00 μB per atom. As for the density: 10.48 g/cm3. The crystal system is trigonal. As for the polymorph energy (0 for the lowest one): 7 meV per atom.

---

Record 7
The following is a DFT calculation (GGA-PBE) of a geometry-optimized Mo2AuBr structure.

Geometry as extended XYZ:
```
4
Lattice="3.1297 0.0000 0.0000 0.0000 4.7310 0.0000 0.0000 0.0000 4.7950" Properties=species:S:1:pos:R:3 pbc="T T T"
Br 0.0000 2.3655 2.3975
Mo 1.5649 2.3655 0.0000
Mo 0.0000 0.0000 0.0000
Au 1.5649 0.0000 2.3975
```

Values from the calculation:
The value obtained for the calculated total energy is -5.6961 eV per atom. As for the space group: Pmmm (47). Its total magnetization is 0.01 μB per atom. As for the density: 10.96 g/cm3. The crystal system is orthorhombic. As for the polymorph energy (0 for the lowest one): 553 meV per atom.

---

Record 8
The following is a DFT calculation (GGA-PBE) of a geometry-optimized Mo2AuBr structure.

Geometry as extended XYZ:
```
4
Lattice="4.9441 0.0002 0.0000 1.3181 4.7651 0.0000 -3.1311 -2.3827 2.9938" Properties=species:S:1:pos:R:3 pbc="T T T"
Au 3.1311 2.3827 0.0000
Mo 0.6590 2.3826 1.4969
Mo 0.0000 0.0000 0.0000
Br 2.4720 0.0001 1.4969
```

Values from the calculation:
The value obtained for the calculated total energy is -5.6515 eV per atom. As for the space group: I-4m2 (119). Its total magnetization is 0.14 μB per atom. As for the density: 11.04 g/cm3. The crystal system is tetragonal. As for the polymorph energy (0 for the lowest one): 597 meV per atom.

---

Which of these has the lowest polymorph energy (0 for the lowest one)?
number 6

---

Please write out number 3 again, unchanged.
The following is a DFT calculation (GGA-PBE) of a geometry-optimized MoAuBr structure.

Geometry as extended XYZ:
```
3
Lattice="-0.2545 -0.5764 -4.5624 4.1068 0.1081 2.0819 -0.1152 -2.9680 0.3814" Properties=species:S:1:pos:R:3 pbc="T T T"
Mo 2.5954 -1.6050 0.0580
Au -0.1152 -2.9678 0.3814
Br 1.1417 -1.8318 -2.1569
```

Values from the calculation:
The value obtained for the calculated total energy is -4.4802 eV per atom. As for the space group: P-6m2 (187). Its total magnetization is 0.00 μB per atom. As for the density: 11.25 g/cm3. The crystal system is hexagonal. As for the polymorph energy (0 for the lowest one): 454 meV per atom.